# 1
First-principles (PBE-GGA) data for an optimized crystal structure of BeCuMo2, as listed in Alexandria.

abc: 3.607 3.715 3.976
angles: 90.00 90.00 90.00
Space group Pmmm (No. 47)
Asymmetric unit:
1 Be 0.000 0.000 0.000
2 Cu 0.500 0.500 0.000
3 Mo 0.000 0.500 0.500
4 Mo 0.500 0.000 0.500

Summary:
total DFT energy (no corrections) = -7.2172 eV per atom
energy of formation = 0.15 eV per atom
crystal system = orthorhombic
V = 53.3 Å³ per cell

***

# 2
First-principles (PBE-GGA) data for an optimized crystal structure of BeCuMo2, as listed in Alexandria.

abc: 3.156 3.156 5.484
angles: 90.00 90.00 90.00
Space group P4mm (No. 99)
Asymmetric unit:
1 Be 0.000 0.000 0.000
2 Cu 0.500 0.500 0.223
3 Mo 0.000 0.000 0.512
4 Mo 0.500 0.500 0.757

Summary:
total DFT energy (no corrections) = -7.1425 eV per atom
energy of formation = 0.23 eV per atom
crystal system = tetragonal
V = 54.6 Å³ per cell

***

# 3
First-principles (PBE-GGA) data for an optimized crystal structure of Be3CuMo, as listed in Alexandria.

abc: 4.236 4.236 4.236
angles: 90.00 90.00 90.00
Space group Pm-3m (No. 221)
Asymmetric unit:
1 Be 0.000 0.000 0.500
2 Cu 0.500 0.500 0.500
3 Mo 0.000 0.000 0.000

Summary:
total DFT energy (no corrections) = -3.7339 eV per atom
energy of formation = 1.49 eV per atom
energy relative to the lowest polymorph listed for this composition = 868 meV per atom
crystal system = cubic
V = 76.0 Å³ per cell

***

# 4
First-principles (PBE-GGA) data for an optimized crystal structure of Be9Cu2Mo, as listed in Alexandria.

abc: 4.2949 4.2949 20.3424
angles: 90.00 90.00 120.00
Space group R-3m (No. 166, hexagonal axes)
Asymmetric unit:
1 Be 0.0000 0.0000 0.0000
2 Be 0.0000 0.0000 0.1673
3 Be 0.0008 0.5004 0.4170
4 Cu 0.0000 0.0000 0.3571
5 Mo 0.0000 0.0000 0.5000

Summary:
total DFT energy (no corrections) = -4.5136 eV per atom
energy of formation = -0.13 eV per atom
crystal system = trigonal
V = 325.0 Å³ per cell